[1]
The following is a DFT calculation (PBE-GGA) of a geometry-optimized BiPbN2O structure.

abc: 4.2876 4.2876 4.2778
angles: 90.00 90.00 90.00
With the nearest neighbours (Å) after each atom.
Space group P4/mmm (No. 123)
Symmetry-distinct sites (fractional):
Bi (0.0000, 0.0000, 0.0000)  8 N 3.03, 4 O 3.03
Pb (0.5000, 0.5000, 0.5000)  2 O 2.14, 4 N 2.14
N (0.0000, 0.5000, 0.5000)  2 Pb 2.14
O (0.5000, 0.5000, 0.0000)  2 Pb 2.14

Properties
DOS at the Fermi energy: 3.0 states/eV/f.u.
Energy: -4.82 eV/atom



[2]
The following is a DFT calculation (PBE-GGA) of a geometry-optimized BiPbNO2 structure.

abc: 4.3567 4.3567 4.5102
angles: 90.00 90.00 90.00
With the nearest neighbours (Å) after each atom.
Space group P4/mmm (No. 123)
Symmetry-distinct sites (fractional):
Bi (0.0000, 0.0000, 0.0000)  4 O 2.18, 2 N 2.26
Pb (0.5000, 0.5000, 0.5000)  4 N 3.08, 8 O 3.14
N (0.0000, 0.0000, 0.5000)  2 Bi 2.26
O (0.0000, 0.5000, 0.0000)  2 Bi 2.18

Properties
DOS at the Fermi energy: 1.7 states/eV/f.u.
Energy: -5.23 eV/atom



[3]
The following is a DFT calculation (PBE-GGA) of a geometry-optimized BiPbN2O structure.

abc: 4.4275 4.4275 4.3817
angles: 90.00 90.00 90.00
With the nearest neighbours (Å) after each atom.
Space group P4/mmm (No. 123)
Symmetry-distinct sites (fractional):
Bi (0.0000, 0.0000, 0.0000)  2 O 2.19, 4 N 2.21
Pb (0.5000, 0.5000, 0.5000)  8 N 3.11, 4 O 3.13
N (0.0000, 0.5000, 0.0000)  2 Bi 2.21
O (0.0000, 0.0000, 0.5000)  2 Bi 2.19

Properties
DOS at the Fermi energy: 3.3 states/eV/f.u.
Energy: -5.05 eV/atom